# SmY3Pd (PBE-GGA, relaxed)
# ΔH_f (0 K), eV per formula unit: -0.8
# DOS at the Fermi energy, states/eV/atom: 1.6903
# Energy above the lowest structure with this stoichiometry, eV per atom: 0.153
# E_tot, eV per atom: -6.02
# Calculated density, g/cm3: 5.3
data_SmY3Pd
_cell_length_a 5.487
_cell_length_b 5.487
_cell_length_c 5.487
_cell_angle_alpha 90.00
_cell_angle_beta 90.00
_cell_angle_gamma 90.00
_symmetry_space_group_name_H-M 'P m -3 m'
_symmetry_Int_Tables_number 221
_symmetry_space_group_name_Hall '-P 4 2 3'
loop_
_atom_site_label
_atom_site_type_symbol
_atom_site_fract_x
_atom_site_fract_y
_atom_site_fract_z
_atom_site_occupancy
Sm1 Sm 0.000 0.000 0.000 1
Y1 Y 0.000 0.500 0.500 1
Pd1 Pd 0.500 0.500 0.500 1

***

# Ca5VN5 (PBE-GGA, relaxed)
# DOS at the Fermi energy, states/eV/atom: 0.0000
# Formation energy (no corrections), eV/atom: -1.09
# E_tot, eV per atom: -6.61
# Calculated density, g/cm3: 3.1
data_Ca5VN5
_cell_length_a 6.054
_cell_length_b 16.657
_cell_length_c 6.797
_cell_angle_alpha 90.00
_cell_angle_beta 90.00
_cell_angle_gamma 90.00
_symmetry_space_group_name_H-M 'P b c m'
_symmetry_Int_Tables_number 57
loop_
_symmetry_equiv_pos_as_xyz
'x,y,z'
'-x,-y,-z'
'-x,-y,z+1/2'
'x,y,-z+1/2'
'x,-y+1/2,-z'
'-x,y+1/2,z'
'-x,y+1/2,-z+1/2'
'x,-y+1/2,z+1/2'
loop_
_atom_site_label
_atom_site_type_symbol
_atom_site_fract_x
_atom_site_fract_y
_atom_site_fract_z
_atom_site_occupancy
Ca1 Ca 0.011 0.237 0.250 1
Ca2 Ca 0.206 0.076 0.007 1
Ca3 Ca 0.314 0.582 0.250 1
Ca4 Ca 0.457 0.750 0.000 1
V1 V 0.216 0.594 0.750 1
N1 N 0.021 0.511 0.750 1
N2 N 0.142 0.655 0.530 1
N3 N 0.362 0.175 0.250 1
N4 N 0.497 0.554 0.750 1

***

# Tl2AsBr (PBE-GGA, relaxed)
# DOS at the Fermi energy, states/eV/atom: 0.4736
# Formation energy (no corrections), eV/atom: -0.03
# Energy above the lowest structure with this stoichiometry, eV per atom: 0.151
# E_tot, eV per atom: -2.80
# Calculated density, g/cm3: 8.0
data_Tl2AsBr
_cell_length_a 3.751
_cell_length_b 4.767
_cell_length_c 6.531
_cell_angle_alpha 90.00
_cell_angle_beta 93.69
_cell_angle_gamma 90.00
_symmetry_space_group_name_H-M 'P 1 2/m 1'
_symmetry_Int_Tables_number 10
loop_
_symmetry_equiv_pos_as_xyz
'x,y,z'
'-x,-y,-z'
'-x,y,-z'
'x,-y,z'
loop_
_atom_site_label
_atom_site_type_symbol
_atom_site_fract_x
_atom_site_fract_y
_atom_site_fract_z
_atom_site_occupancy
Tl1 Tl 0.089 0.000 0.256 1
As1 As 0.500 0.500 0.500 1
Br1 Br 0.500 0.500 0.000 1

***

# LaPm2Cu (PBE-GGA, relaxed)
# ΔH_f (0 K), eV per formula unit: 0.3
# DOS at the Fermi energy, states/eV/atom: 1.3674
# Energy above the lowest structure with this stoichiometry, eV per atom: 0.126
# E_tot, eV per atom: -4.57
# Calculated density, g/cm3: 6.6
data_LaPm2Cu
_cell_length_a 3.7471
_cell_length_b 3.7471
_cell_length_c 30.4368
_cell_angle_alpha 90.00
_cell_angle_beta 90.00
_cell_angle_gamma 120.00
_symmetry_space_group_name_H-M 'R 3 m'
_symmetry_Int_Tables_number 160
_symmetry_space_group_name_Hall 'R 3 -2"'
loop_
_atom_site_label
_atom_site_type_symbol
_atom_site_fract_x
_atom_site_fract_y
_atom_site_fract_z
_atom_site_occupancy
La1 La 0.0000 0.0000 0.0000 1
Pm1 Pm 0.0000 0.0000 0.2321 1
Pm2 Pm 0.0000 0.0000 0.4346 1
Cu1 Cu 0.0000 0.0000 0.8337 1

***

# Nd5ThP6 (PBE-GGA, relaxed)
# ΔH_f (0 K), eV per formula unit: -18.8
# DOS at the Fermi energy, states/eV/atom: 0.2682
# E_tot, eV per atom: -6.88
# Calculated density, g/cm3: 6.2
data_Nd5ThP6
_cell_length_a 7.217
_cell_length_b 12.489
_cell_length_c 7.211
_cell_angle_alpha 90.00
_cell_angle_beta 109.48
_cell_angle_gamma 90.00
_symmetry_space_group_name_H-M 'C 1 2/m 1'
_symmetry_Int_Tables_number 12
loop_
_symmetry_equiv_pos_as_xyz
'x,y,z'
'-x,-y,-z'
'-x,y,-z'
'x,-y,z'
'x+1/2,y+1/2,z'
'-x+1/2,-y+1/2,-z'
'-x+1/2,y+1/2,-z'
'x+1/2,-y+1/2,z'
loop_
_atom_site_label
_atom_site_type_symbol
_atom_site_fract_x
_atom_site_fract_y
_atom_site_fract_z
_atom_site_occupancy
Nd1 Nd 0.000 0.000 0.000 1
Nd2 Nd 0.000 0.166 0.500 1
Nd3 Nd 0.000 0.332 0.000 1
Th1 Th 0.000 0.500 0.500 1
P1 P 0.247 0.335 0.748 1
P2 P 0.247 0.500 0.252 1

***

# Er2ZnTc (PBE-GGA, relaxed)
# ΔH_f (0 K), eV per formula unit: -0.8
# DOS at the Fermi energy, states/eV/atom: 0.9084
# Energy above the lowest structure with this stoichiometry, eV per atom: 0.000
# E_tot, eV per atom: -5.40
# Calculated density, g/cm3: 9.8
data_Er2ZnTc
_cell_length_a 3.476
_cell_length_b 3.476
_cell_length_c 6.954
_cell_angle_alpha 90.00
_cell_angle_beta 90.00
_cell_angle_gamma 90.00
_symmetry_space_group_name_H-M 'P 4/m m m'
_symmetry_Int_Tables_number 123
_symmetry_space_group_name_Hall '-P 4 2'
loop_
_atom_site_label
_atom_site_type_symbol
_atom_site_fract_x
_atom_site_fract_y
_atom_site_fract_z
_atom_site_occupancy
Er1 Er 0.000 0.000 0.231 1
Zn1 Zn 0.500 0.500 0.500 1
Tc1 Tc 0.500 0.500 0.000 1

***

# Li2CeMg8 (PBE-GGA, relaxed)
# ΔH_f (0 K), eV per formula unit: 5.0
# DOS at the Fermi energy, states/eV/atom: 1.4713
# E_tot, eV per atom: -1.60
# Calculated density, g/cm3: 1.7
data_Li2CeMg8
_cell_length_a 6.115
_cell_length_b 6.115
_cell_length_c 18.405
_cell_angle_alpha 90.00
_cell_angle_beta 90.00
_cell_angle_gamma 90.00
_symmetry_space_group_name_H-M 'I 4/m m m'
_symmetry_Int_Tables_number 139
_symmetry_space_group_name_Hall '-I 4 2'
loop_
_atom_site_label
_atom_site_type_symbol
_atom_site_fract_x
_atom_site_fract_y
_atom_site_fract_z
_atom_site_occupancy
Li1 Li 0.000 0.500 0.250 1
Ce1 Ce 0.000 0.000 0.000 1
Mg1 Mg 0.250 0.250 0.145 1

***

# CoTcHg2 (PBE-GGA, relaxed)
# ΔH_f (0 K), eV per formula unit: 2.8
# DOS at the Fermi energy, states/eV/atom: 1.2612
# Energy above the lowest structure with this stoichiometry, eV per atom: 0.361
# E_tot, eV per atom: -3.82
# Calculated density, g/cm3: 13.5
data_CoTcHg2
_cell_length_a 2.972
_cell_length_b 3.936
_cell_length_c 5.850
_cell_angle_alpha 90.00
_cell_angle_beta 90.46
_cell_angle_gamma 90.00
_symmetry_space_group_name_H-M 'P 1 2/m 1'
_symmetry_Int_Tables_number 10
loop_
_symmetry_equiv_pos_as_xyz
'x,y,z'
'-x,-y,-z'
'-x,y,-z'
'x,-y,z'
loop_
_atom_site_label
_atom_site_type_symbol
_atom_site_fract_x
_atom_site_fract_y
_atom_site_fract_z
_atom_site_occupancy
Co1 Co 0.000 0.000 0.000 1
Tc1 Tc 0.000 0.000 0.500 1
Hg1 Hg 0.497 0.500 0.243 1

***

# ScTlGa2Cl6 (PBE-GGA, relaxed)
# DOS at the Fermi energy, states/eV/atom: 0.0000
# Formation energy (no corrections), eV/atom: -1.33
# E_tot, eV per atom: -3.92
# Calculated density, g/cm3: 3.2
data_ScTlGa2Cl6
_cell_length_a 7.397
_cell_length_b 7.425
_cell_length_c 7.788
_cell_angle_alpha 61.69
_cell_angle_beta 61.66
_cell_angle_gamma 60.13
_symmetry_space_group_name_H-M 'P 1'
_symmetry_Int_Tables_number 1
loop_
_symmetry_equiv_pos_as_xyz
'x,y,z'
loop_
_atom_site_label
_atom_site_type_symbol
_atom_site_fract_x
_atom_site_fract_y
_atom_site_fract_z
_atom_site_occupancy
Sc1 Sc 0.000 0.000 0.000 1
Tl1 Tl 0.489 0.489 0.534 1
Ga1 Ga 0.196 0.194 0.416 1
Ga2 Ga 0.687 0.686 0.943 1
Cl1 Cl 0.074 0.355 0.752 1
Cl2 Cl 0.227 0.912 0.202 1
Cl3 Cl 0.356 0.820 0.751 1
Cl4 Cl 0.660 0.224 0.204 1
Cl5 Cl 0.817 0.073 0.753 1
Cl6 Cl 0.913 0.660 0.203 1

***

# LiCr2Ni (PBE-GGA, relaxed)
# ΔH_f (0 K), eV per formula unit: 1.2
# DOS at the Fermi energy, states/eV/atom: 0.8115
# Energy above the lowest structure with this stoichiometry, eV per atom: 0.128
# E_tot, eV per atom: -6.44
# Calculated density, g/cm3: 5.7
data_LiCr2Ni
_cell_length_a 2.997
_cell_length_b 4.200
_cell_length_c 7.827
_cell_angle_alpha 90.00
_cell_angle_beta 90.00
_cell_angle_gamma 90.00
_symmetry_space_group_name_H-M 'I m m 2'
_symmetry_Int_Tables_number 44
loop_
_symmetry_equiv_pos_as_xyz
'x,y,z'
'-x,-y,z'
'-x,y,z'
'x,-y,z'
'x+1/2,y+1/2,z+1/2'
'-x+1/2,-y+1/2,z+1/2'
'-x+1/2,y+1/2,z+1/2'
'x+1/2,-y+1/2,z+1/2'
loop_
_atom_site_label
_atom_site_type_symbol
_atom_site_fract_x
_atom_site_fract_y
_atom_site_fract_z
_atom_site_occupancy
Li1 Li 0.000 0.000 0.000 1
Cr1 Cr 0.000 0.000 0.499 1
Cr2 Cr 0.000 0.500 0.230 1
Ni1 Ni 0.000 0.500 0.748 1

***

# DyNi8Rh3 (PBE-GGA, relaxed)
# ΔH_f (0 K), eV per formula unit: -1.2
# DOS at the Fermi energy, states/eV/atom: 1.4641
# E_tot, eV per atom: -6.18
# Calculated density, g/cm3: 10.1
data_DyNi8Rh3
_cell_length_a 4.7811
_cell_length_b 4.7811
_cell_length_c 7.8193
_cell_angle_alpha 90.00
_cell_angle_beta 90.00
_cell_angle_gamma 120.00
_symmetry_space_group_name_H-M 'P 3 m 1'
_symmetry_Int_Tables_number 156
loop_
_symmetry_equiv_pos_as_xyz
'x,y,z'
'-y,x-y,z'
'-x+y,-x,z'
'-y,-x,z'
'-x+y,y,z'
'x,x-y,z'
loop_
_atom_site_label
_atom_site_type_symbol
_atom_site_fract_x
_atom_site_fract_y
_atom_site_fract_z
_atom_site_occupancy
Dy1 Dy 0.0000 0.0000 0.0000 1
Ni1 Ni 0.1653 0.3305 0.6777 1
Ni2 Ni 0.3333 0.6667 0.4328 1
Ni3 Ni 0.3333 0.6667 0.9319 1
Ni4 Ni 0.5027 0.0053 0.1949 1
Rh1 Rh 0.0000 0.0000 0.3838 1
Rh2 Rh 0.6667 0.3333 0.4970 1
Rh3 Rh 0.6667 0.3333 0.8550 1

***

# Ce5SmIn6 (PBE-GGA, relaxed)
# ΔH_f (0 K), eV per formula unit: -4.6
# DOS at the Fermi energy, states/eV/atom: 2.4368
# E_tot, eV per atom: -4.61
# Calculated density, g/cm3: 7.8
data_Ce5SmIn6
_cell_length_a 16.546
_cell_length_b 6.864
_cell_length_c 5.806
_cell_angle_alpha 90.00
_cell_angle_beta 91.51
_cell_angle_gamma 90.00
_symmetry_space_group_name_H-M 'C 1 2/m 1'
_symmetry_Int_Tables_number 12
loop_
_symmetry_equiv_pos_as_xyz
'x,y,z'
'-x,-y,-z'
'-x,y,-z'
'x,-y,z'
'x+1/2,y+1/2,z'
'-x+1/2,-y+1/2,-z'
'-x+1/2,y+1/2,-z'
'x+1/2,-y+1/2,z'
loop_
_atom_site_label
_atom_site_type_symbol
_atom_site_fract_x
_atom_site_fract_y
_atom_site_fract_z
_atom_site_occupancy
Ce1 Ce 0.000 0.000 0.000 1
Ce2 Ce 0.166 0.000 0.658 1
Ce3 Ce 0.173 0.500 0.650 1
Sm1 Sm 0.000 0.500 0.000 1
In1 In 0.000 0.256 0.500 1
In2 In 0.167 0.253 0.156 1